Density functional theory data (PBE) for Sn2Br2O after structural relaxation.

a = 6.823 Å, b = 6.823 Å, c = 5.035 Å
α = 90.00°, β = 90.00°, γ = 90.00°
Positions (direct):
Sn1 0.187 0.313 0.000
Sn2 0.687 0.187 0.000
Sn3 0.813 0.687 0.000
Sn4 0.313 0.813 0.000
O1 0.500 0.500 0.000
O2 0.000 0.000 0.000
Br1 0.673 0.827 0.500
Br2 0.173 0.673 0.500
Br3 0.327 0.173 0.500
Br4 0.827 0.327 0.500

Computed properties:
crystal system: tetragonal
SG: P4/mbm, No. 127
raw formation energy: -546 meV per atom
density of states at the Fermi level: 0.10 states/eV/atom